VASP calculation (GGA-PBE) on a relaxed structure of ZrAlSb2Te.

Calculated values
Formation energy without anion corrections in eV/f.u.: 1.3
Symmetry: P4/mmm, No. 123
E in eV per atom: -4.47
Polymorph energy (0 for the lowest one) in meV per atom: 0

Structure (POSCAR):
```
ZrAlSb2Te
1.0
-4.9001 -0.1766 -2.6580
-0.5948 -5.3521 1.4521
-2.6061 1.5649 4.7005
Al Sb Te Zr
1 2 1 1
Direct
0.5000 0.5000 0.5000
0.5000 0.0000 0.0000
0.0000 0.5000 0.0000
0.0000 0.0000 0.5000
0.0000 0.0000 0.0000
```

***

VASP calculation (GGA-PBE) on a relaxed structure of Y2ErBi.

Calculated values
Formation energy in eV/atom: -0.36
Symmetry: P4/mmm, No. 123
E in eV per atom: -5.71
Polymorph energy (0 for the lowest one) in meV per atom: 41

Structure (POSCAR):
```
Y2ErBi
1.0
-4.0081 -0.8271 -0.8918
-0.8234 -0.4151 4.0858
-1.4623 6.6730 0.3832
Bi Er Y
1 1 2
Direct
0.5000 0.5000 0.0000
0.5000 0.5000 0.5000
0.0000 0.0000 0.2411
0.0000 0.0000 0.7589
```

***

VASP calculation (GGA-PBE) on a relaxed structure of HgH3Pb.

Calculated values
Symmetry: Pm-3m, No. 221
E in eV per atom: -2.37
Polymorph energy (0 for the lowest one) in meV per atom: 0

Structure (POSCAR):
```
HgH3Pb
1.0
-2.6961 0.4079 -3.2560
-3.2393 -1.0038 2.5565
-0.5240 4.1064 0.9484
H Pb Hg
3 1 1
Direct
0.0000 0.5000 0.0000
0.5000 0.0000 0.0000
0.0000 0.0000 0.5000
0.0000 0.0000 0.0000
0.5000 0.5000 0.5000
```

***

VASP calculation (GGA-PBE) on a relaxed structure of ErIn2Se4.

Calculated values
Formation energy without anion corrections in eV/f.u.: -5.6
Symmetry: P-42m, No. 111
E in eV per atom: -4.22

Structure (POSCAR):
```
ErIn2Se4
1.0
-3.7997 1.7107 -4.4981
-1.1343 -5.8881 -1.2811
-4.7752 0.0390 4.0487
Se In Er
4 2 1
Direct
0.2631 0.2631 0.2405
0.2631 0.7369 0.7595
0.7369 0.7369 0.2405
0.7369 0.2631 0.7595
0.0000 0.5000 0.5000
0.5000 0.0000 0.5000
0.0000 0.0000 0.0000
```

***

VASP calculation (GGA-PBE) on a relaxed structure of MgInSi2S.

Calculated values
Formation energy without anion corrections in eV/f.u.: 4.5
Symmetry: P4/mmm, No. 123
E in eV per atom: -2.95

Structure (POSCAR):
```
MgInSi2S
1.0
-3.4294 3.7295 -0.5556
-3.5526 -3.4861 -1.4722
-1.4310 -0.5924 4.8559
S In Mg Si
1 1 1 2
Direct
0.0000 0.5000 0.0000
0.0000 0.0000 0.0000
0.5000 0.5000 0.5000
0.5000 0.0000 0.0000
0.0000 0.0000 0.5000
```

***

VASP calculation (GGA-PBE) on a relaxed structure of ScSb2IF.

Calculated values
Formation energy without anion corrections in eV/f.u.: -2.0
Symmetry: P4/mmm, No. 123
E in eV per atom: -4.00
Polymorph energy (0 for the lowest one) in meV per atom: 0

Structure (POSCAR):
```
ScSb2IF
1.0
-4.5578 -0.9632 -0.1546
0.6593 -3.5859 2.9038
-0.9081 3.5586 4.6006
F Sb Sc I
1 2 1 1
Direct
0.0000 0.0000 0.0000
0.5000 0.0000 0.0000
0.0000 0.5000 0.0000
0.5000 0.5000 0.5000
0.0000 0.0000 0.5000
```

***

VASP calculation (GGA-PBE) on a relaxed structure of BePb4Se.

Calculated values
Formation energy without anion corrections in eV/f.u.: 3.9
Symmetry: F-43m, No. 216
E in eV per atom: -3.02

Structure (POSCAR):
```
BePb4Se
1.0
0.0000 4.5161 4.5161
4.5161 0.0000 4.5161
4.5161 4.5161 0.0000
Pb Be Se
4 1 1
Direct
0.3745 0.3745 0.8765
0.3745 0.8765 0.3745
0.8765 0.3745 0.3745
0.3745 0.3745 0.3745
0.0000 0.0000 0.0000
0.7500 0.7500 0.7500
```

***

VASP calculation (GGA-PBE) on a relaxed structure of CeGe3Os2.

Calculated values
Formation energy in eV/atom: -0.17
Symmetry: Cmcm, No. 63
E in eV per atom: -7.21

Structure (POSCAR):
```
CeGe3Os2
1.0
5.7901 0.0000 0.0000
0.0000 6.1317 0.1432
0.0000 -1.0915 6.0354
Ge Os Ce
6 4 2
Direct
0.7500 0.1178 0.4376
0.2500 0.0164 0.0164
0.2500 0.5624 0.8822
0.7500 0.4376 0.1178
0.7500 0.9836 0.9836
0.2500 0.8822 0.5624
0.0000 0.7810 0.2190
0.5000 0.7810 0.2190
0.0000 0.2190 0.7810
0.5000 0.2190 0.7810
0.2500 0.3693 0.3693
0.7500 0.6307 0.6307
```

***

VASP calculation (GGA-PBE) on a relaxed structure of Y2Tm12Sc5.

Calculated values
Formation energy in eV/atom: 0.38
Symmetry: C2/m, No. 12
E in eV per atom: -4.79

Structure (POSCAR):
```
Y2Tm12Sc5
1.0
6.8881 0.0000 0.0000
-3.4441 8.8133 0.2132
0.0000 -2.8827 9.9082
Tm Sc Y
12 5 2
Direct
0.0847 0.6645 0.4260
0.1235 0.2470 0.8254
0.4934 0.9868 0.3529
0.8765 0.7530 0.1746
0.5597 0.5881 0.8805
0.4403 0.4119 0.1195
0.9716 0.4119 0.1195
0.5798 0.6645 0.4260
0.9153 0.3355 0.5740
0.5066 0.0132 0.6471
0.0284 0.5881 0.8805
0.4202 0.3355 0.5740
0.3479 0.6958 0.6994
0.0000 0.0000 0.5000
0.3596 0.7192 0.1264
0.6521 0.3042 0.3006
0.6404 0.2808 0.8736
0.2656 0.0000 0.0000
0.7344 0.0000 0.0000
```

***

VASP calculation (GGA-PBE) on a relaxed structure of Ta3Nb12Cr5.

Calculated values
Formation energy in eV/atom: 1.28
Symmetry: Ia-3d, No. 230
E in eV per atom: -8.94

Structure (POSCAR):
```
Ta3Nb12Cr5
1.0
-12.3242 3.5162 -1.9373
1.7613 -2.8550 12.5199
7.8532 9.7509 -3.3541
Nb Ta Cr
48 12 20
Direct
0.5649 0.9496 0.6648
0.9001 0.0649 0.6153
0.2848 0.8847 0.9496
0.6153 0.0504 0.2152
0.3847 0.9496 0.7848
0.5999 0.8847 0.4351
0.0999 0.9351 0.3847
0.0504 0.6153 0.7152
0.5649 0.6153 0.4001
0.1153 0.4001 0.0649
0.1648 0.0649 0.9496
0.0504 0.4351 0.8352
0.4351 0.0504 0.3352
0.7152 0.1153 0.0504
0.3352 0.7848 0.4001
0.3352 0.5504 0.4351
0.3847 0.4351 0.0999
0.0999 0.1648 0.2152
0.9001 0.8352 0.7848
0.9351 0.8352 0.5504
0.0649 0.1648 0.4496
0.2152 0.6648 0.0999
0.7152 0.5999 0.1648
0.6153 0.5649 0.9001
0.9351 0.0999 0.8847
0.5504 0.2152 0.1153
0.9496 0.3847 0.2848
0.4496 0.7848 0.8847
0.2848 0.4001 0.8352
0.2152 0.5504 0.6153
0.0649 0.9001 0.1153
0.4001 0.2848 0.3352
0.5504 0.3352 0.9351
0.8847 0.2848 0.4496
0.6648 0.4496 0.5649
0.8352 0.9001 0.2848
0.1153 0.7152 0.5504
0.7848 0.4496 0.3847
0.7848 0.3352 0.9001
0.4001 0.1153 0.5649
0.4496 0.6648 0.0649
0.4351 0.3847 0.5999
0.5999 0.7152 0.6648
0.1648 0.0999 0.7152
0.8352 0.9351 0.0504
0.6648 0.2152 0.5999
0.8847 0.5999 0.9351
0.9496 0.5649 0.1648
0.1250 0.8750 0.7500
0.8750 0.1250 0.2500
0.2500 0.6250 0.8750
0.3750 0.6250 0.2500
0.7500 0.3750 0.1250
0.6250 0.3750 0.7500
0.6250 0.2500 0.3750
0.1250 0.2500 0.8750
0.3750 0.7500 0.6250
0.2500 0.1250 0.3750
0.8750 0.7500 0.1250
0.7500 0.8750 0.6250
0.1250 0.3750 0.2500
0.0000 0.5000 0.0000
0.7500 0.1250 0.8750
0.6250 0.7500 0.8750
0.8750 0.6250 0.7500
0.0000 0.0000 0.0000
0.1250 0.7500 0.3750
0.5000 0.0000 0.0000
0.5000 0.5000 0.0000
0.7500 0.6250 0.3750
0.5000 0.0000 0.5000
0.6250 0.8750 0.2500
0.5000 0.5000 0.5000
0.3750 0.1250 0.7500
0.2500 0.3750 0.6250
0.8750 0.2500 0.6250
0.0000 0.5000 0.5000
0.3750 0.2500 0.1250
0.0000 0.0000 0.5000
0.2500 0.8750 0.1250
```

***

VASP calculation (GGA-PBE) on a relaxed structure of Ba2SrAg.

Calculated values
Formation energy in eV/atom: 0.02
Symmetry: I-42d, No. 122
E in eV per atom: -2.07
Polymorph energy (0 for the lowest one) in meV per atom: 167

Structure (POSCAR):
```
Ba2SrAg
1.0
-0.3257 -2.2152 -10.4178
6.5557 -8.2560 1.5506
0.3091 -7.3623 -3.8937
Ag Sr Ba
2 2 4
Direct
0.7500 0.2500 0.5000
0.0000 0.0000 0.0000
0.2500 0.7500 0.5000
0.5000 0.5000 0.0000
0.7152 0.1250 0.2500
0.3750 0.2848 0.7500
0.8750 0.9652 0.7500
0.0348 0.6250 0.2500
```

***

VASP calculation (GGA-PBE) on a relaxed structure of CeZn11Fe.

Calculated values
Formation energy in eV/atom: -0.13
Symmetry: C2/m, No. 12
E in eV per atom: -2.31

Structure (POSCAR):
```
CeZn11Fe
1.0
-0.4465 -4.7538 1.7973
1.7278 -4.6372 -4.6525
5.8072 -2.1733 2.9353
Zn Fe Ce
11 1 1
Direct
0.3704 0.6402 0.6548
0.6296 0.3598 0.3452
0.5031 0.2233 0.7808
0.5000 0.0000 0.5000
0.0000 0.5000 0.0000
0.0252 0.6402 0.3452
0.7161 0.7767 0.7808
0.9748 0.3598 0.6548
0.0000 0.0000 0.5000
0.4969 0.7767 0.2192
0.2839 0.2233 0.2192
0.5000 0.5000 0.0000
0.0000 0.0000 0.0000
```

***

E of number 1 (ZrAlSb2Te)? -4.47 eV per atom

***

What did the seventh record say?
VASP calculation (GGA-PBE) on a relaxed structure of BePb4Se.

Calculated values
Formation energy without anion corrections in eV/f.u.: 3.9
Symmetry: F-43m, No. 216
E in eV per atom: -3.02

Structure (POSCAR):
```
BePb4Se
1.0
0.0000 4.5161 4.5161
4.5161 0.0000 4.5161
4.5161 4.5161 0.0000
Pb Be Se
4 1 1
Direct
0.3745 0.3745 0.8765
0.3745 0.8765 0.3745
0.8765 0.3745 0.3745
0.3745 0.3745 0.3745
0.0000 0.0000 0.0000
0.7500 0.7500 0.7500
```

***

What did the ninth record say?
VASP calculation (GGA-PBE) on a relaxed structure of Y2Tm12Sc5.

Calculated values
Formation energy in eV/atom: 0.38
Symmetry: C2/m, No. 12
E in eV per atom: -4.79

Structure (POSCAR):
```
Y2Tm12Sc5
1.0
6.8881 0.0000 0.0000
-3.4441 8.8133 0.2132
0.0000 -2.8827 9.9082
Tm Sc Y
12 5 2
Direct
0.0847 0.6645 0.4260
0.1235 0.2470 0.8254
0.4934 0.9868 0.3529
0.8765 0.7530 0.1746
0.5597 0.5881 0.8805
0.4403 0.4119 0.1195
0.9716 0.4119 0.1195
0.5798 0.6645 0.4260
0.9153 0.3355 0.5740
0.5066 0.0132 0.6471
0.0284 0.5881 0.8805
0.4202 0.3355 0.5740
0.3479 0.6958 0.6994
0.0000 0.0000 0.5000
0.3596 0.7192 0.1264
0.6521 0.3042 0.3006
0.6404 0.2808 0.8736
0.2656 0.0000 0.0000
0.7344 0.0000 0.0000
```